The following is a PBE calculation of a relaxed TlIrPdSe3 crystal, from OQMD.

Summary:
electronic total energy: -4.71 eV per atom
total magnetization: 0.00 μB per cell

Cell lengths 7.7456, 3.8230, 9.8892 Å; angles 90.00, 109.49, 90.00 degrees
Closest atoms and distances in Å follow each position.
Fractional positions:
Tl (0.2478, 0.2500, 0.3056)  2 Pd 3.27, 7 Se 3.35-3.61
Tl (0.7522, 0.7500, 0.6944)  2 Pd 3.27, 7 Se 3.35-3.61
Ir (0.3134, 0.7500, 0.8568)  6 Se 2.51-2.56
Ir (0.6866, 0.2500, 0.1432)  6 Se 2.51-2.56
Pd (0.0500, 0.2500, 0.6190)  4 Se 2.49-2.59
Pd (0.9500, 0.7500, 0.3810)  4 Se 2.49-2.59
Se (0.1078, 0.2500, 0.8820)  1 Pd 2.49, 2 Ir 2.55
Se (0.2585, 0.7500, 0.5868)  1 Ir 2.56, 3 Pd 2.57-2.59
Se (0.4645, 0.7500, 0.1237)  3 Ir 2.51-2.54
Se (0.5355, 0.2500, 0.8763)  3 Ir 2.51-2.54
Se (0.7415, 0.2500, 0.4132)  1 Ir 2.56, 3 Pd 2.57-2.59
Se (0.8922, 0.7500, 0.1180)  1 Pd 2.49, 2 Ir 2.55